# V2MoHRu PBE relaxed
# E above lowest polymorph   0.0 meV/atom
# E   -41.9 eV for the cell shown
# Size of the total moment   0.0 Bohr magnetons per cell
data_V2MoHRu
_space_group_name_H-M_alt 'P 4/m m m'
_space_group_IT_number 123
_space_group_name_Hall '-P 4 2'
_cell_length_a 4.2043
_cell_length_b 4.2043
_cell_length_c 3.3695
_cell_angle_alpha 90.00
_cell_angle_beta 90.00
_cell_angle_gamma 90.00
loop_
_atom_site_label
_atom_site_fract_x
_atom_site_fract_y
_atom_site_fract_z
V1 0.0000 0.5000 0.0000
Mo1 0.0000 0.0000 0.5000
H1 0.5000 0.5000 0.0000
Ru1 0.5000 0.5000 0.5000